Mg6CdSi (PBE, relaxed); SG = Amm2
1.0
4.845 0.000 0.000
0.000 6.571 0.000
0.000 0.000 10.605
Mg Cd Si
12 2 2
direct
0.000 0.000 0.000 Mg
0.000 0.000 0.500 Mg
0.000 0.241 0.257 Mg
0.000 0.259 0.757 Mg
0.000 0.500 0.000 Mg
0.000 0.500 0.500 Mg
0.000 0.741 0.757 Mg
0.000 0.759 0.257 Mg
0.500 0.250 0.078 Mg
0.500 0.250 0.578 Mg
0.500 0.750 0.078 Mg
0.500 0.750 0.578 Mg
0.500 0.000 0.828 Cd
0.500 0.500 0.328 Cd
0.500 0.000 0.336 Si
0.500 0.500 0.836 Si


TbPm3Dy2Sb6 (PBE, relaxed); SG = C2/m
1.0
9.676 -2.221 0.000
9.676 2.221 0.000
-2.026 0.000 8.645
Tb Pm Dy Sb
1 3 2 6
direct
0.000 0.000 0.000 Tb
0.000 0.000 0.500 Pm
0.333 0.333 0.167 Pm
0.667 0.667 0.833 Pm
0.333 0.333 0.667 Dy
0.667 0.667 0.333 Dy
0.165 0.165 0.087 Sb
0.168 0.168 0.579 Sb
0.498 0.498 0.753 Sb
0.502 0.502 0.247 Sb
0.832 0.832 0.421 Sb
0.835 0.835 0.913 Sb


ThTi2Si2 (PBE, relaxed); SG = C2/c
1.0
4.273 -5.213 0.000
4.273 5.213 0.000
-4.214 0.000 4.915
Th Ti Si
2 4 4
direct
0.125 0.875 0.750 Th
0.875 0.125 0.250 Th
0.243 0.491 0.988 Ti
0.491 0.243 0.488 Ti
0.509 0.757 0.512 Ti
0.757 0.509 0.012 Ti
0.158 0.842 0.250 Si
0.407 0.593 0.750 Si
0.593 0.407 0.250 Si
0.842 0.158 0.750 Si


What E_form (uncorrected) values result from the calculations? In sequence: 0.02 -1.16 -0.31 eV/atom.